Below is crystalline DyTm3Th5 at its relaxed geometry, with properties calculated at the PBE level.

It has space group I4/mcm (No. 140), with a = 9.149 Å, b = 9.149 Å, c = 14.212 Å, α = 90.00°, β = 90.00° and γ = 90.00°. The distinct sites, in fractional coordinates, are Dy at (0.000, 0.500, 0.250), Tm at (0.000, 0.000, 0.250), Tm at (0.104, 0.396, 0.000), Th at (0.000, 0.000, 0.000) and Th at (0.207, 0.293, 0.374).

As for the density of states at the Fermi level: 16.1 states/eV/f.u.

---

Below is crystalline Dy3Tm2Th6 at its relaxed geometry, with properties calculated at the PBE level.

It has space group R-3m (No. 166, hexagonal axes), with a = 3.5657 Å, b = 3.5657 Å, c = 94.6819 Å, α = 90.00°, β = 90.00° and γ = 120.00°. The distinct sites, in fractional coordinates, are Dy at (0.0000, 0.0000, 0.0000), Dy at (0.0000, 0.0000, 0.2727), Tm at (0.0000, 0.0000, 0.4543), Th at (0.0000, 0.0000, 0.0911), Th at (0.0000, 0.0000, 0.1816) and Th at (0.0000, 0.0000, 0.3637).

As for the density of states at the Fermi level: 16.5 states/eV/f.u.

---

Below is crystalline DyTm2Th3 at its relaxed geometry, with properties calculated at the PBE level.

It has space group Cmcm (No. 63), with a = 10.170 Å, b = 11.243 Å, c = 6.687 Å, α = 90.00°, β = 90.00° and γ = 90.00°. The distinct sites, in fractional coordinates, are Dy at (0.000, 0.230, 0.250), Tm at (0.166, 0.270, 0.750), Th at (0.000, 0.500, 0.000) and Th at (0.167, 0.000, 0.000).

As for the density of states at the Fermi level: 7.3 states/eV/f.u. As for the energy above the most stable polymorph in this dataset: 0.151 eV/atom.

---

Below is crystalline Dy12Tm3Th at its relaxed geometry, with properties calculated at the PBE level.

It has space group P4/mmm (No. 123), with a = 5.004 Å, b = 5.004 Å, c = 19.967 Å, α = 90.00°, β = 90.00° and γ = 90.00°. The distinct sites, in fractional coordinates, are Dy at (0.000, 0.000, 0.000), Dy at (0.000, 0.000, 0.248), Dy at (0.000, 0.000, 0.500), Dy at (0.000, 0.500, 0.125), Dy at (0.000, 0.500, 0.375), Tm at (0.500, 0.500, 0.000), Tm at (0.500, 0.500, 0.250) and Th at (0.500, 0.500, 0.500).

As for the density of states at the Fermi level: 22.3 states/eV/f.u.

---

Below is crystalline Dy6Tm3Th at its relaxed geometry, with properties calculated at the PBE level.

It has space group R32 (No. 155, hexagonal axes), with a = 9.7312 Å, b = 9.7312 Å, c = 11.8270 Å, α = 90.00°, β = 90.00° and γ = 120.00°. The distinct sites, in fractional coordinates, are Dy at (0.0000, 0.3340, 0.0000), Dy at (0.0000, 0.6637, 0.5000), Tm at (0.0000, 0.0000, 0.2579), Tm at (0.0000, 0.0000, 0.5000) and Th at (0.0000, 0.0000, 0.0000).

As for the density of states at the Fermi level: 18.2 states/eV/f.u. As for the energy above the most stable polymorph in this dataset: 0.155 eV/atom.

---

Below is crystalline DyTmTh2 at its relaxed geometry, with properties calculated at the PBE level.

It has space group R3m (No. 160, hexagonal axes), with a = 3.5498 Å, b = 3.5498 Å, c = 34.6746 Å, α = 90.00°, β = 90.00° and γ = 120.00°. The distinct sites, in fractional coordinates, are Dy at (0.0000, 0.0000, 0.0000), Tm at (0.0000, 0.0000, 0.8301), Th at (0.0000, 0.0000, 0.4156) and Th at (0.0000, 0.0000, 0.5807).

As for the density of states at the Fermi level: 6.4 states/eV/f.u. As for the energy above the most stable polymorph in this dataset: 0.009 eV/atom.

---

Below is crystalline Dy2Tm2Th at its relaxed geometry, with properties calculated at the PBE level.

It has space group P2/m (No. 10), with a = 5.322 Å, b = 3.483 Å, c = 8.765 Å, α = 90.00°, β = 107.62° and γ = 90.00°. The distinct sites, in fractional coordinates, are Dy at (0.199, 0.000, 0.399), Tm at (0.394, 0.500, 0.787) and Th at (0.000, 0.000, 0.000).

As for the density of states at the Fermi level: 6.3 states/eV/f.u. As for the energy above the most stable polymorph in this dataset: 0.000 eV/atom.

---

Below is crystalline Dy7TmTh2 at its relaxed geometry, with properties calculated at the PBE level.

It has space group Cmmm (No. 65), with a = 8.682 Å, b = 16.630 Å, c = 5.479 Å, α = 90.00°, β = 90.00° and γ = 90.00°. The distinct sites, in fractional coordinates, are Dy at (0.000, 0.000, 0.000), Dy at (0.000, 0.293, 0.500), Dy at (0.176, 0.391, 0.000), Tm at (0.000, 0.500, 0.500) and Th at (0.000, 0.205, 0.000).

As for the density of states at the Fermi level: 14.9 states/eV/f.u. As for the energy above the most stable polymorph in this dataset: 0.306 eV/atom.

---

Below is crystalline DyTm4Th at its relaxed geometry, with properties calculated at the PBE level.

It has space group C2/c (No. 15), with a = 8.695 Å, b = 14.353 Å, c = 6.568 Å, α = 90.00°, β = 110.49° and γ = 90.00°. The distinct sites, in fractional coordinates, are Dy at (0.000, 0.088, 0.250), Tm at (0.093, 0.306, 0.534), Tm at (0.202, 0.129, 0.878) and Th at (0.000, 0.500, 0.250).

As for the density of states at the Fermi level: 9.9 states/eV/f.u. As for the energy above the most stable polymorph in this dataset: 0.166 eV/atom.

---

Below is crystalline Dy4TmTh2 at its relaxed geometry, with properties calculated at the PBE level.

It has space group I4/mmm (No. 139), with a = 5.521 Å, b = 5.521 Å, c = 16.752 Å, α = 90.00°, β = 90.00° and γ = 90.00°. The distinct sites, in fractional coordinates, are Dy at (0.000, 0.000, 0.182), Dy at (0.000, 0.500, 0.000), Tm at (0.000, 0.000, 0.000) and Th at (0.000, 0.000, 0.387).

As for the density of states at the Fermi level: 14.2 states/eV/f.u. As for the energy above the most stable polymorph in this dataset: 0.620 eV/atom.

---

Below is crystalline DyTmTh3 at its relaxed geometry, with properties calculated at the PBE level.

It has space group C2 (No. 5), with a = 6.907 Å, b = 16.452 Å, c = 3.520 Å, α = 90.00°, β = 119.70° and γ = 90.00°. The distinct sites, in fractional coordinates, are Dy at (0.000, 0.000, 0.000), Tm at (0.000, 0.381, 0.500), Th at (0.000, 0.828, 0.500) and Th at (0.243, 0.170, 0.943).

As for the density of states at the Fermi level: 7.0 states/eV/f.u. As for the energy above the most stable polymorph in this dataset: 0.015 eV/atom.

---

Below is crystalline Dy2Tm8Th3 at its relaxed geometry, with properties calculated at the PBE level.

It has space group P2/m (No. 10), with a = 7.818 Å, b = 5.497 Å, c = 10.618 Å, α = 90.00°, β = 111.58° and γ = 90.00°. The distinct sites, in fractional coordinates, are Dy at (0.238, 0.000, 0.476), Tm at (0.129, 0.500, 0.258), Tm at (0.189, 0.000, 0.784), Tm at (0.331, 0.500, 0.661), Tm at (0.404, 0.000, 0.216), Th at (0.000, 0.000, 0.000) and Th at (0.297, 0.500, 0.000).

As for the density of states at the Fermi level: 22.4 states/eV/f.u. As for the energy above the most stable polymorph in this dataset: 0.000 eV/atom.

---

Below is crystalline Dy2Tm2Th15 at its relaxed geometry, with properties calculated at the PBE level.

It has space group R-3m (No. 166, hexagonal axes), with a = 11.3723 Å, b = 11.3723 Å, c = 17.3254 Å, α = 90.00°, β = 90.00° and γ = 120.00°. The distinct sites, in fractional coordinates, are Dy at (0.0000, 0.0000, 0.1877), Tm at (0.0000, 0.0000, 0.4026), Th at (0.0000, 0.2992, 0.5000), Th at (0.0000, 0.5000, 0.0000) and Th at (0.0093, 0.5046, 0.6460).

As for the density of states at the Fermi level: 37.6 states/eV/f.u.

---

Below is crystalline Dy5Tm8Th at its relaxed geometry, with properties calculated at the PBE level.

It has space group I-4 (No. 82), with a = 9.528 Å, b = 9.528 Å, c = 9.870 Å, α = 90.00°, β = 90.00° and γ = 90.00°. The distinct sites, in fractional coordinates, are Dy at (0.000, 0.000, 0.000), Dy at (0.116, 0.785, 0.583), Tm at (0.070, 0.673, 0.916), Tm at (0.092, 0.830, 0.254) and Th at (0.000, 0.500, 0.250).

As for the density of states at the Fermi level: 22.1 states/eV/f.u.

---

Below is crystalline DyTm5Th2 at its relaxed geometry, with properties calculated at the PBE level.

It has space group Immm (No. 71), with a = 3.489 Å, b = 11.047 Å, c = 13.081 Å, α = 90.00°, β = 90.00° and γ = 90.00°. The distinct sites, in fractional coordinates, are Dy at (0.000, 0.000, 0.000), Tm at (0.000, 0.232, 0.370), Tm at (0.000, 0.500, 0.000) and Th at (0.000, 0.500, 0.259).

As for the density of states at the Fermi level: 13.5 states/eV/f.u.

---

Below is crystalline Dy7Tm12Th at its relaxed geometry, with properties calculated at the PBE level.

It has space group Im-3m (No. 229), with a = 11.117 Å, b = 11.117 Å, c = 11.117 Å, α = 90.00°, β = 90.00° and γ = 90.00°. The distinct sites, in fractional coordinates, are Dy at (0.000, 0.000, 0.500), Dy at (0.250, 0.250, 0.250), Tm at (0.000, 0.247, 0.247) and Th at (0.000, 0.000, 0.000).

As for the density of states at the Fermi level: 28.7 states/eV/f.u. As for the energy above the most stable polymorph in this dataset: 0.529 eV/atom.

---

Below is crystalline Dy4Tm5Th at its relaxed geometry, with properties calculated at the PBE level.

It has space group I4 (No. 79), with a = 10.111 Å, b = 10.111 Å, c = 6.304 Å, α = 90.00°, β = 90.00° and γ = 90.00°. The distinct sites, in fractional coordinates, are Dy at (0.051, 0.653, 0.000), Tm at (0.000, 0.000, 0.243), Tm at (0.143, 0.766, 0.500) and Th at (0.000, 0.000, 0.775).

As for the density of states at the Fermi level: 14.6 states/eV/f.u. As for the energy above the most stable polymorph in this dataset: 0.148 eV/atom.

---

Below is crystalline Dy2Tm9Th at its relaxed geometry, with properties calculated at the PBE level.

It has space group P4/mmm (No. 123), with a = 4.961 Å, b = 4.961 Å, c = 14.857 Å, α = 90.00°, β = 90.00° and γ = 90.00°. The distinct sites, in fractional coordinates, are Dy at (0.000, 0.000, 0.167), Tm at (0.000, 0.500, 0.000), Tm at (0.000, 0.500, 0.334), Tm at (0.500, 0.500, 0.165), Tm at (0.500, 0.500, 0.500) and Th at (0.000, 0.000, 0.500).

As for the density of states at the Fermi level: 17.7 states/eV/f.u.

---

Below is crystalline DyTm7Th3 at its relaxed geometry, with properties calculated at the PBE level.

It has space group P3m1 (No. 156), with a = 7.0072 Å, b = 7.0072 Å, c = 8.4489 Å, α = 90.00°, β = 90.00° and γ = 120.00°. The distinct sites, in fractional coordinates, are Dy at (0.0000, 0.0000, 0.0000), Tm at (0.0022, 0.5011, 0.0033), Tm at (0.3316, 0.1658, 0.3378), Tm at (0.3333, 0.6667, 0.3397) and Th at (0.1671, 0.3343, 0.6698).

As for the density of states at the Fermi level: 14.9 states/eV/f.u. As for the energy above the most stable polymorph in this dataset: 0.050 eV/atom.

---

Below is crystalline Dy2TmTh6 at its relaxed geometry, with properties calculated at the PBE level.

It has space group R3m (No. 160, hexagonal axes), with a = 6.9803 Å, b = 6.9803 Å, c = 23.2085 Å, α = 90.00°, β = 90.00° and γ = 120.00°. The distinct sites, in fractional coordinates, are Dy at (0.0000, 0.0000, 0.0000), Dy at (0.0000, 0.0000, 0.1686), Tm at (0.0000, 0.0000, 0.4196), Th at (0.0118, 0.5059, 0.9734) and Th at (0.1746, 0.3491, 0.5268).

As for the density of states at the Fermi level: 12.4 states/eV/f.u. As for the energy above the most stable polymorph in this dataset: 0.281 eV/atom.

---

Below is crystalline Dy3Tm4Th4 at its relaxed geometry, with properties calculated at the PBE level.

It has space group Amm2 (No. 38), with a = 10.642 Å, b = 5.635 Å, c = 11.887 Å, α = 90.00°, β = 90.00° and γ = 90.00°. The distinct sites, in fractional coordinates, are Dy at (0.000, 0.000, 0.000), Dy at (0.287, 0.000, 0.160), Tm at (0.000, 0.000, 0.310), Tm at (0.296, 0.000, 0.852), Tm at (0.500, 0.000, 0.356), Th at (0.000, 0.000, 0.699), Th at (0.210, 0.000, 0.514) and Th at (0.500, 0.000, 0.634).

As for the density of states at the Fermi level: 17.0 states/eV/f.u.

---

Listing total magnetic moment for the structures above in their given order: 0.00, 0.00, 0.00, 0.00, 0.00, 0.00, 0.00, 0.00, 0.00, 0.71, 0.00, 0.00, 0.00, 1.98, 0.00, 0.01, 0.00, 0.00, 0.00, 0.00, 0.00 μB per cell.
Listing raw total energy for the structures above in their given order: -5.67, -6.08, -5.78, -4.73, -4.56, -5.94, -5.07, -4.38, -4.82, -4.58, -5.92, -4.89, -6.52, -4.44, -5.13, -3.89, -4.48, -4.71, -5.08, -6.02, -5.38 eV/atom.
Listing volume for the structures above in their given order: 33.0, 31.6, 31.9, 31.3, 32.3, 31.5, 31.0, 39.6, 32.0, 36.5, 34.7, 32.6, 34.0, 32.0, 31.5, 34.3, 32.2, 30.5, 32.7, 36.3, 32.4 Å³ per atom.